Compound: YMgBe2W
Source: the Alexandria database
Functional: PBE-GGA
Structure: optimized geometry

## Properties
Magnetization in μB per cell: 2.40
ΔH_f (0 K) in meV/atom: 2423
Space group: P4/mmm, No. 123

Cell: 4.5004 5.0323 4.5004 Å, 90.00 90.00 90.00°
Fractional coordinates of all 5 atoms:
Y 0.0000 0.0000 0.0000
Be 0.0000 0.0000 0.5000
Be 0.5000 0.0000 0.0000
Mg 0.0000 0.5000 0.0000
W 0.5000 0.5000 0.5000

***

Compound: DyThInOs
Source: the Alexandria database
Functional: PBE-GGA
Structure: optimized geometry

## Properties
Magnetization in μB per cell: 0.00
ΔH_f (0 K) in meV/atom: -133
Space group: F-43m, No. 216

Cell: 5.0085 5.0085 5.0085 Å, 60.00 60.00 60.00°
Fractional coordinates of all 4 atoms:
Dy 0.2500 0.2500 0.2500
Os 0.7500 0.7500 0.7500
Th 0.5000 0.5000 0.5000
In 0.0000 0.0000 0.0000

***

Compound: SiB3I
Source: the Alexandria database
Functional: PBE-GGA
Structure: optimized geometry

## Properties
Magnetization in μB per cell: 0.00
Uncorrected formation energy in eV/atom: 1.5971
Space group: Pm-3m, No. 221

Cell: 4.2112 4.2112 4.2112 Å, 90.00 90.00 90.00°
Fractional coordinates of all 5 atoms:
I 0.5000 0.5000 0.5000
Si 0.0000 0.0000 0.0000
B 0.0000 0.5000 0.0000
B 0.0000 0.0000 0.5000
B 0.5000 0.0000 0.0000

***

Compound: Er4CdPt7
Source: the Alexandria database
Functional: PBE-GGA
Structure: optimized geometry

## Properties
Magnetization in μB per cell: 0.00
ΔH_f (0 K) in meV/atom: -918
Space group: C2/m, No. 12

Cell: 5.1876 9.2028 6.0850 Å, 82.44 64.77 73.63°
Fractional coordinates of all 12 atoms:
Er 0.5944 0.2155 0.5958
Er 0.4056 0.7845 0.4042
Er 0.7733 0.6413 0.8122
Er 0.2267 0.3587 0.1878
Cd 0.0000 0.0000 0.0000
Pt 0.7870 0.8990 0.5270
Pt 0.2130 0.1010 0.4730
Pt 0.0762 0.6885 0.1590
Pt 0.9238 0.3115 0.8410
Pt 0.3658 0.5308 0.7376
Pt 0.5000 0.0000 0.0000
Pt 0.6342 0.4692 0.2624

***

Compound: AgHgTe2
Source: the Alexandria database
Functional: PBE-GGA
Structure: optimized geometry

## Properties
Magnetization in μB per cell: 0.00
Uncorrected formation energy in eV/atom: 0.1645
Space group: Pmmm, No. 47

Cell: 3.1285 4.1358 8.4868 Å, 90.00 90.00 90.00°
Fractional coordinates of all 4 atoms:
Te 0.0000 0.0000 0.0426
Te 0.0000 0.0000 0.4574
Hg 0.5000 0.5000 0.7500
Ag 0.5000 0.5000 0.2500

***

Compound: ZnAs2Ru
Source: the Alexandria database
Functional: PBE-GGA
Structure: optimized geometry

## Properties
Magnetization in μB per cell: 0.00
ΔH_f (0 K) in meV/atom: 43
Space group: Pm, No. 6

Cell: 4.3743 3.2574 4.8545 Å, 70.54 90.00 90.00°
Fractional coordinates of all 4 atoms:
As 0.0000 0.9890 0.9022
As 0.5000 0.2677 0.3345
Ru 0.0000 0.7044 0.4659
Zn 0.5000 0.5388 0.7975

***

Compound: Nd12H5Rh3
Source: the Alexandria database
Functional: PBE-GGA
Structure: optimized geometry

## Properties
Magnetization in μB per cell: 0.00
Space group: Ia-3d, No. 230
E_tot in eV/atom: -5.17

Cell: 13.5021 13.5021 13.5021 Å, 109.47 109.47 109.47°
Fractional coordinates of all 80 atoms:
Rh 0.7500 0.3750 0.1250
Rh 0.8750 0.7500 0.1250
Rh 0.3750 0.7500 0.6250
Rh 0.2500 0.1250 0.3750
Rh 0.8750 0.1250 0.2500
Rh 0.3750 0.6250 0.2500
Rh 0.6250 0.3750 0.7500
Rh 0.1250 0.8750 0.7500
Rh 0.7500 0.8750 0.6250
Rh 0.6250 0.2500 0.3750
Rh 0.1250 0.2500 0.8750
Rh 0.2500 0.6250 0.8750
H 0.1250 0.3750 0.2500
H 0.0000 0.5000 0.0000
H 0.0000 0.0000 0.0000
H 0.3750 0.2500 0.1250
H 0.5000 0.0000 0.5000
H 0.5000 0.5000 0.0000
H 0.1250 0.7500 0.3750
H 0.7500 0.1250 0.8750
H 0.7500 0.6250 0.3750
H 0.3750 0.1250 0.7500
H 0.6250 0.8750 0.2500
H 0.5000 0.5000 0.5000
H 0.5000 0.0000 0.0000
H 0.0000 0.0000 0.5000
H 0.2500 0.3750 0.6250
H 0.2500 0.8750 0.1250
H 0.0000 0.5000 0.5000
H 0.8750 0.2500 0.6250
H 0.6250 0.7500 0.8750
H 0.8750 0.6250 0.7500
Nd 0.7170 0.1196 0.0284
Nd 0.3114 0.5284 0.4088
Nd 0.9716 0.3804 0.2830
Nd 0.5284 0.2170 0.1196
Nd 0.5974 0.7170 0.6886
Nd 0.9716 0.5912 0.1886
Nd 0.3114 0.7830 0.4026
Nd 0.0912 0.9026 0.1196
Nd 0.5912 0.9716 0.6886
Nd 0.7170 0.5974 0.1886
Nd 0.7830 0.4716 0.3804
Nd 0.8114 0.9088 0.0284
Nd 0.1196 0.7170 0.5284
Nd 0.3804 0.4088 0.0974
Nd 0.0974 0.9088 0.3804
Nd 0.4026 0.1196 0.5912
Nd 0.0974 0.1886 0.2170
Nd 0.4716 0.6886 0.0912
Nd 0.8114 0.9026 0.2830
Nd 0.1196 0.4026 0.0912
Nd 0.3804 0.9716 0.7830
Nd 0.5912 0.6196 0.4026
Nd 0.9088 0.8114 0.5284
Nd 0.7830 0.3114 0.9026
Nd 0.4088 0.3804 0.5974
Nd 0.0912 0.1886 0.4716
Nd 0.2170 0.6886 0.0974
Nd 0.1886 0.0974 0.7170
Nd 0.6196 0.0284 0.2170
Nd 0.8804 0.5974 0.9088
Nd 0.5284 0.3114 0.9088
Nd 0.5974 0.8804 0.4088
Nd 0.9026 0.8114 0.7830
Nd 0.9026 0.0912 0.6196
Nd 0.8804 0.2830 0.4716
Nd 0.1886 0.0912 0.9716
Nd 0.6196 0.5912 0.9026
Nd 0.4088 0.0284 0.3114
Nd 0.2830 0.4026 0.8114
Nd 0.2170 0.5284 0.6196
Nd 0.9088 0.0974 0.8804
Nd 0.6886 0.2170 0.5974
Nd 0.4716 0.7830 0.8804
Nd 0.0284 0.4088 0.8114
Nd 0.4026 0.2830 0.3114
Nd 0.0284 0.6196 0.7170
Nd 0.6886 0.4716 0.5912
Nd 0.2830 0.8804 0.9716

***

Compound: KSbTe2Br
Source: the Alexandria database
Functional: PBE-GGA
Structure: optimized geometry

## Properties
Magnetization in μB per cell: 1.61
Uncorrected formation energy in eV/atom: 0.2635
Space group: P4/mmm, No. 123

Cell: 5.9306 5.9306 5.5888 Å, 90.00 90.00 90.00°
Fractional coordinates of all 5 atoms:
Sb 0.0000 0.0000 0.5000
K 0.5000 0.5000 0.5000
Te 0.0000 0.5000 0.0000
Te 0.5000 0.0000 0.0000
Br 0.0000 0.0000 0.0000